# Er5Pt2Au

A relaxed Er5Pt2Au crystal (PBE-GGA, the Alexandria database).

Output
* ΔE_f: -0.942 eV per atom
* mass density: 12187 kg/m³
* energy: -5.713 eV per atom
* size of the total moment: 0.000 μB per atom
* space group: I4/mcm (140)

Unit cell a=7.7011 b=7.7011 c=8.5107 alpha=116.90 beta=116.90 gamma=90.00
Fractional positions:
Er: 0.5202 0.6975 0.7177
Er: 0.8025 0.9798 0.2823
Er: 0.0000 0.0000 0.0000
Er: 0.5000 0.5000 0.0000
Er: 0.1975 0.0202 0.7177
Er: 0.6975 0.1975 0.7177
Er: 0.0202 0.5202 0.7177
Er: 0.3025 0.8025 0.2823
Er: 0.9798 0.4798 0.2823
Er: 0.4798 0.3025 0.2823
Pt: 0.1367 0.3633 0.0000
Pt: 0.6367 0.1367 0.0000
Pt: 0.3633 0.8633 0.0000
Pt: 0.8633 0.6367 0.0000
Au: 0.7500 0.7500 0.5000
Au: 0.2500 0.2500 0.5000